This record from Alexandria via LeMat-Bulk describes an optimized crystal structure of Ho2OsCl. The functional is PBE.

## Properties
Energy relative to the lowest polymorph listed for this composition = 118 meV per atom
Crystal system = trigonal
Spin magnetization = 0.00 μB/f.u.
Uncorrected formation energy = -0.72 eV per atom

Lattice parameters (Å, degrees): 3.9380 3.9380 22.2636 90.00 90.00 120.00
Closest atoms and distances in Å follow each position.
Space group R-3m (No. 166, hexagonal axes)
One atom of each set of equivalent atoms:
Ho 0.0000 0.0000 0.2350 (multiplicity 6)  3 Os 2.74
Os 0.0000 0.0000 0.5000 (multiplicity 3)  6 Ho 2.74
Cl 0.0000 0.0000 0.0000 (multiplicity 3)  6 Ho 3.16